Crystalline PmY2WO8 at its relaxed geometry, computed with PBE with a Hubbard U.

abc: 5.068 5.068 6.954
angles: 90.00 90.00 90.58
Site moments in Bohr magnetons follow the coordinates.
Sites, in units of the cell vectors:
Pm  0.000  0.000  0.500  0.02
Y  0.500  0.500  0.756  -0.01
Y  0.500  0.500  0.244  -0.01
W  0.000  0.000  0.000  -0.04
O  0.184  0.816  0.207  0.06
O  0.724  0.724  0.000  0.11
O  0.816  0.184  0.207  0.06
O  0.816  0.184  0.793  0.06
O  0.276  0.276  0.000  0.11
O  0.184  0.816  0.793  0.06
O  0.685  0.685  0.500  0.18
O  0.315  0.315  0.500  0.18

Output
- M_tot: 0.076 μB per atom
- Final energy: -8.189 eV per atom